The following is a DFT calculation (PBE-GGA) of a relaxed structure of TlSbOs2.

The raw formation energy is 0.651 eV/atom.

Unit cell a=4.4191 b=4.4191 c=7.3380 alpha=96.92 beta=96.92 gamma=39.79
Fractional coordinates of all 4 atoms:
Tl 0.0000 0.0000 0.0000
Sb 0.7789 0.7789 0.3895
Os 0.2523 0.2523 0.7280
Os 0.5150 0.5150 0.6060